No. 1
Here is Cs2GeRhW after structural relaxation from Alexandria. Energies are from PBEsol.

Summary:
Electronic total energy in eV for the cell shown: -19.19
Space group: P4/mmm (123)
Energy relative to the elements in meV/atom: 1916.9
M_tot in μB per atom: 1.042

Cell and atoms, written as POSCAR:
```
Cs2GeRhW
1.0
4.860 0.000 0.000
0.000 6.577 0.000
0.000 0.000 6.577
Cs Ge Rh W
2 1 1 1
Cartesian
0.000 0.000 3.288
0.000 3.288 0.000
2.430 0.000 0.000
2.430 3.288 3.288
0.000 0.000 0.000
```



No. 2
Here is Ta4Au after structural relaxation from Alexandria. Energies are from PBEsol.

Summary:
Electronic total energy in eV for the cell shown: -54.27
Space group: I4/m (87)
Energy relative to the elements in meV/atom: -27.9
M_tot in μB per atom: 0.000
Distance to the lowest polymorph of the same formula in eV/atom: 0.000

Cell and atoms, written as POSCAR:
```
Ta4Au
1.0
3.477 0.000 0.000
1.738 5.013 0.000
1.738 0.000 5.013
Ta Au
4 1
Cartesian
1.738 1.023 2.049
5.215 3.990 2.965
3.477 2.965 1.023
3.477 2.049 3.990
0.000 0.000 0.000
```



No. 3
Here is Mg4Sb after structural relaxation from Alexandria. Energies are from PBEsol.

Summary:
Electronic total energy in eV for the cell shown: -12.02
Space group: I4/m (87)
Raw formation energy in eV/atom: -0.12
M_tot in μB per atom: 0.000

Cell and atoms, written as POSCAR:
```
Mg4Sb
1.0
-0.638 2.835 -3.162
2.262 -1.617 -4.822
-4.693 -0.964 -2.834
Mg Sb
4 1
Cartesian
-0.334 -0.544 -6.253
-2.904 0.535 -7.683
-2.735 0.798 -4.565
-0.165 -0.282 -3.135
0.000 0.000 0.000
```



No. 4
Here is AlCu3B after structural relaxation from Alexandria. Energies are from PBEsol.

Summary:
Electronic total energy in eV for the cell shown: -23.16
Space group: Pm-3m (221)
Energy relative to the elements in meV/atom: 189.2
M_tot in μB per atom: 0.000

Cell and atoms, written as POSCAR:
```
AlCu3B
1.0
3.909 0.000 0.000
0.000 3.909 0.000
0.000 0.000 3.909
Al B Cu
1 1 3
Cartesian
1.955 1.955 1.955
0.000 0.000 0.000
0.000 0.000 1.955
1.955 0.000 0.000
0.000 1.955 0.000
```



No. 5
Here is ScRePt2 after structural relaxation from Alexandria. Energies are from PBEsol.

Summary:
Electronic total energy in eV for the cell shown: -35.27
Space group: I-4m2 (119)
Energy relative to the elements in meV/atom: -350.6
M_tot in μB per atom: 0.002

Cell and atoms, written as POSCAR:
```
ScRePt2
1.0
-2.470 0.736 2.987
2.802 -1.044 2.574
1.116 3.921 -2.649
Sc Pt Re
1 2 1
Cartesian
2.042 1.361 1.353
0.000 0.000 0.000
-0.594 2.251 1.560
0.166 -0.154 2.781
```



No. 6
Here is YSc3Al after structural relaxation from Alexandria. Energies are from PBEsol.

Summary:
Electronic total energy in eV for the cell shown: -25.67
Space group: Pm-3m (221)
Energy relative to the elements in meV/atom: 1012.5
M_tot in μB per atom: 0.000
Distance to the lowest polymorph of the same formula in eV/atom: 0.687

Cell and atoms, written as POSCAR:
```
YSc3Al
1.0
-2.305 4.297 1.283
-2.995 -2.549 3.155
3.338 0.680 3.718
Sc Y Al
3 1 1
Cartesian
1.669 0.340 1.859
-1.498 -1.275 1.578
-1.153 2.149 0.642
0.000 0.000 0.000
-0.982 1.214 4.078
```



No. 7
Here is ReRh7 after structural relaxation from Alexandria. Energies are from PBEsol.

Summary:
Electronic total energy in eV for the cell shown: -70.60
Space group: P4/mmm (123)
Energy relative to the elements in meV/atom: -36.8
M_tot in μB per atom: 0.000
Distance to the lowest polymorph of the same formula in eV/atom: 0.033

Cell and atoms, written as POSCAR:
```
ReRh7
1.0
2.679 0.000 0.000
0.000 2.679 0.000
0.000 0.000 15.201
Rh Re
7 1
Cartesian
0.000 0.000 11.350
0.000 0.000 3.850
1.339 1.339 9.492
1.339 1.339 13.317
1.339 1.339 1.884
0.000 0.000 7.600
1.339 1.339 5.709
0.000 0.000 0.000
```



No. 8
Here is FeCo3 after structural relaxation from Alexandria. Energies are from PBEsol.

Summary:
Electronic total energy in eV for the cell shown: -31.95
Space group: Pmm2 (25)
Energy relative to the elements in meV/atom: 55.9
M_tot in μB per atom: 1.758

Cell and atoms, written as POSCAR:
```
FeCo3
1.0
-0.063 -1.940 1.511
3.287 -1.497 -1.784
2.453 2.081 2.774
Co Fe
3 1
Cartesian
3.660 0.019 2.180
2.445 2.074 2.765
1.197 0.072 2.145
2.465 -0.052 0.036
```



No. 9
Here is CaTe2Au after structural relaxation from Alexandria. Energies are from PBEsol.

Summary:
Electronic total energy in eV for the cell shown: -15.44
Space group: Cmmm (65)
Raw formation energy in eV/atom: -0.58
M_tot in μB per atom: 0.000

Cell and atoms, written as POSCAR:
```
CaTe2Au
1.0
-2.102 -2.836 1.820
1.559 -3.285 -3.319
3.844 -0.978 2.917
Te Au Ca
2 1 1
Cartesian
1.922 -0.489 1.458
0.780 -1.643 -1.659
-1.051 -1.418 0.910
1.650 -3.550 0.709
```



No. 10
Here is FeSb2Pb after structural relaxation from Alexandria. Energies are from PBEsol.

Summary:
Electronic total energy in eV for the cell shown: -19.84
Space group: Cmmm (65)
Raw formation energy in eV/atom: 0.56
M_tot in μB per atom: 0.706

Cell and atoms, written as POSCAR:
```
FeSb2Pb
1.0
-0.564 2.694 -2.595
-0.200 -3.523 -3.613
-4.801 0.442 1.501
Sb Pb Fe
2 1 1
Cartesian
-2.401 0.221 0.750
-0.100 -1.761 -1.806
-2.783 -0.194 -2.354
-0.282 1.347 -1.298
```



No. 11
Here is Er3TaO7 after structural relaxation from Alexandria. Energies are from PBEsol.

Summary:
Electronic total energy in eV for the cell shown: -204.97
Space group: P-1 (2)
Raw formation energy in eV/atom: -3.49
M_tot in μB per atom: 0.000
Distance to the lowest polymorph of the same formula in eV/atom: 0.000

Cell and atoms, written as POSCAR:
```
Er3TaO7
1.0
-0.890 -5.989 1.534
6.092 -1.813 -0.080
2.730 1.301 6.811
O Er Ta
14 6 2
Cartesian
5.156 -5.834 1.365
2.174 -3.077 1.783
5.758 -3.424 6.482
1.510 -4.556 6.404
5.650 -0.855 4.212
3.593 -2.553 5.162
3.759 -4.866 7.863
4.174 -1.634 0.402
2.282 -5.645 4.053
1.584 -1.216 3.973
6.349 -5.285 4.293
4.339 -3.948 3.104
2.776 -0.667 6.901
6.423 -1.944 1.861
4.327 -4.590 5.224
4.987 -1.267 6.395
3.605 -1.910 3.041
6.325 -4.194 2.320
2.945 -5.234 1.871
1.608 -2.307 5.945
1.365 0.651 3.406
0.000 0.000 0.000
```



No. 12
Here is TaTe2As after structural relaxation from Alexandria. Energies are from PBEsol.

Summary:
Electronic total energy in eV for the cell shown: -24.52
Space group: R-3m (166)
Raw formation energy in eV/atom: 0.05
M_tot in μB per atom: 0.000

Cell and atoms, written as POSCAR:
```
TaTe2As
1.0
3.436 0.000 0.000
1.718 2.976 0.000
1.718 0.992 8.813
As Te Ta
1 2 1
Cartesian
3.436 1.984 4.406
1.718 0.992 1.953
5.154 2.976 6.860
0.000 0.000 0.000
```



No. 13
Here is RbLi3In after structural relaxation from Alexandria. Energies are from PBEsol.

Summary:
Electronic total energy in eV for the cell shown: -9.84
Space group: Pm-3m (221)
Energy relative to the elements in meV/atom: 14.2
M_tot in μB per atom: 0.001

Cell and atoms, written as POSCAR:
```
RbLi3In
1.0
-2.377 4.267 -2.380
-4.685 -1.239 2.457
1.387 3.127 4.221
Li In Rb
3 1 1
Cartesian
-1.188 2.133 -1.190
0.693 1.564 2.110
-2.342 -0.619 1.229
0.000 0.000 0.000
-2.837 3.078 2.149
```



No. 14
Here is BaAgPb2 after structural relaxation from Alexandria. Energies are from PBEsol.

Summary:
Electronic total energy in eV for the cell shown: -14.41
Space group: Cm (8)
Energy relative to the elements in meV/atom: -239.4
M_tot in μB per atom: 0.000
Distance to the lowest polymorph of the same formula in eV/atom: 0.062

Cell and atoms, written as POSCAR:
```
BaAgPb2
1.0
4.730 0.000 0.000
-2.365 4.690 -0.028
0.000 -2.371 5.712
Pb Ag Ba
2 1 1
Cartesian
2.365 2.358 5.230
0.000 0.439 3.795
2.365 -1.262 3.732
2.365 1.916 1.468
```



No. 15
Here is CaZnCr3 after structural relaxation from Alexandria. Energies are from PBEsol.

Summary:
Electronic total energy in eV for the cell shown: -28.54
Space group: Pm-3m (221)
Energy relative to the elements in meV/atom: 1179.4
M_tot in μB per atom: 2.424

Cell and atoms, written as POSCAR:
```
CaZnCr3
1.0
-0.497 2.474 -4.033
-3.175 -3.181 -1.560
-3.508 2.529 1.983
Cr Ca Zn
3 1 1
Cartesian
-1.754 1.264 0.992
-1.588 -1.591 -0.780
-0.248 1.237 -2.017
-3.590 0.911 -1.805
0.000 0.000 0.000
```



No. 16
Here is HfSc2NbPb after structural relaxation from Alexandria. Energies are from PBEsol.

Summary:
Electronic total energy in eV for the cell shown: -32.04
Space group: P4/mmm (123)
Energy relative to the elements in meV/atom: 1299.3
M_tot in μB per atom: 0.579

Cell and atoms, written as POSCAR:
```
HfSc2NbPb
1.0
-0.148 -0.975 4.869
4.917 -0.705 0.008
0.750 5.241 1.073
Nb Sc Pb Hf
1 2 1 1
Cartesian
2.759 1.780 2.975
-0.074 -0.488 2.434
2.459 -0.353 0.004
0.375 2.620 0.536
0.000 0.000 0.000
```



No. 17
Here is SrCuNi2 after structural relaxation from Alexandria. Energies are from PBEsol.

Summary:
Electronic total energy in eV for the cell shown: -18.58
Space group: R-3m (166)
Energy relative to the elements in meV/atom: -21.9
M_tot in μB per atom: 0.000
Distance to the lowest polymorph of the same formula in eV/atom: 0.006

Cell and atoms, written as POSCAR:
```
SrCuNi2
1.0
4.077 0.001 0.049
2.038 3.531 0.049
1.983 1.146 5.056
Cu Ni Sr
1 2 1
Cartesian
3.057 1.766 0.049
3.006 1.736 4.814
5.092 2.941 0.340
0.992 0.573 2.528
```



No. 18
Here is Rb2BaSr2 after structural relaxation from Alexandria. Energies are from PBEsol.

Summary:
Electronic total energy in eV for the cell shown: -6.25
Space group: I4/mmm (139)
Energy relative to the elements in meV/atom: 326.8
M_tot in μB per atom: 0.088

Cell and atoms, written as POSCAR:
```
Rb2BaSr2
1.0
5.693 0.000 0.000
0.000 5.693 0.000
-2.847 -2.847 10.386
Ba Sr Rb
1 2 2
Cartesian
0.000 0.000 0.000
0.000 2.847 5.193
2.847 0.000 5.193
2.847 2.847 2.017
0.000 0.000 8.369
```



No. 19
Here is LiVP3HO10 after structural relaxation from Alexandria. Energies are from PBEsol.

Summary:
Electronic total energy in eV for the cell shown: -118.00
Space group: C2 (5)
M_tot in μB per atom: 0.125
Distance to the lowest polymorph of the same formula in eV/atom: 0.025

Cell and atoms, written as POSCAR:
```
LiVP3HO10
1.0
6.230 -0.072 0.073
1.819 6.106 0.077
-1.819 0.141 6.105
O P H Li V
10 3 1 1 1
Cartesian
6.494 3.978 2.148
1.921 3.685 4.328
2.768 3.542 1.897
-0.385 4.129 5.953
6.614 5.925 4.139
5.086 1.127 1.873
1.144 1.813 1.179
-0.265 2.118 4.028
4.308 4.294 3.712
3.462 1.863 3.594
3.115 3.432 3.468
1.288 3.367 1.200
4.941 1.164 3.427
0.000 1.454 1.439
3.115 1.207 1.266
0.000 4.079 4.037
```



No. 20
Here is Cs2TlHg2 after structural relaxation from Alexandria. Energies are from PBEsol.

Summary:
Electronic total energy in eV for the cell shown: -12.40
Space group: P4/mbm (127)
Energy relative to the elements in meV/atom: -109.8
M_tot in μB per atom: 0.000

Cell and atoms, written as POSCAR:
```
Cs2TlHg2
1.0
5.822 0.000 0.000
0.000 8.138 0.000
0.000 0.000 8.138
Hg Cs Tl
4 4 2
Cartesian
0.000 5.148 1.079
0.000 7.059 5.148
0.000 2.990 7.059
0.000 1.079 2.990
2.911 5.499 6.708
2.911 1.430 5.499
2.911 2.639 1.430
2.911 6.708 2.639
0.000 4.069 4.069
0.000 0.000 0.000
```



No. 21
Here is CaAlPt after structural relaxation from Alexandria. Energies are from PBEsol.

Summary:
Electronic total energy in eV for the cell shown: -64.06
Space group: Pnma (62)
Energy relative to the elements in meV/atom: -942.1
M_tot in μB per atom: 0.000

Cell and atoms, written as POSCAR:
```
CaAlPt
1.0
4.266 0.000 0.000
0.000 7.084 0.000
0.000 0.000 7.740
Pt Al Ca
4 4 4
Cartesian
1.067 5.569 6.815
3.200 1.515 0.925
3.200 5.056 2.945
1.067 2.027 4.795
3.200 6.072 0.500
3.200 2.530 3.370
1.067 4.553 4.370
1.067 1.012 7.241
1.067 0.168 2.508
1.067 3.710 1.362
3.200 3.374 6.378
3.200 6.916 5.232
```



No. 22
Here is MgCo2Ir after structural relaxation from Alexandria. Energies are from PBEsol.

Summary:
Electronic total energy in eV for the cell shown: -26.63
Space group: I4/mmm (139)
Energy relative to the elements in meV/atom: 95.8
M_tot in μB per atom: 0.001

Cell and atoms, written as POSCAR:
```
MgCo2Ir
1.0
-1.797 3.205 0.550
-3.230 -1.831 0.114
2.867 -1.092 3.186
Co Mg Ir
2 1 1
Cartesian
-0.722 1.400 2.034
-1.438 -1.118 1.816
0.000 0.000 0.000
-2.514 0.687 0.332
```



No. 23
Here is HRhO2 after structural relaxation from Alexandria. Energies are from PBEsol.

Summary:
Electronic total energy in eV for the cell shown: -45.00
Space group: I-42d (122)
M_tot in μB per atom: 0.000

Cell and atoms, written as POSCAR:
```
HRhO2
1.0
-2.085 1.584 3.289
1.076 -4.624 0.222
3.192 -1.048 2.528
H O Rh
2 4 2
Cartesian
0.814 -2.178 1.565
0.553 0.268 2.909
3.178 -4.065 3.043
0.861 -2.993 2.918
0.131 -0.773 1.799
0.194 -0.344 4.319
1.368 -1.910 4.474
0.000 0.000 0.000
```



No. 24
Here is Sc3ZnW after structural relaxation from Alexandria. Energies are from PBEsol.

Summary:
Electronic total energy in eV for the cell shown: -31.62
Space group: Pm-3m (221)
Energy relative to the elements in meV/atom: 717.4
M_tot in μB per atom: 0.000

Cell and atoms, written as POSCAR:
```
Sc3ZnW
1.0
-4.999 -0.109 -0.003
0.068 -3.207 3.836
-0.085 3.835 3.207
Sc Zn W
3 1 1
Cartesian
-2.499 -0.055 -0.001
0.034 -1.603 1.918
-0.043 1.917 1.604
-2.508 0.259 3.520
0.000 0.000 0.000
```



No. 25
Here is LiY2NiCl after structural relaxation from Alexandria. Energies are from PBEsol.

Summary:
Electronic total energy in eV for the cell shown: -24.88
Space group: P4/mmm (123)
Raw formation energy in eV/atom: -0.22
M_tot in μB per atom: 0.000

Cell and atoms, written as POSCAR:
```
LiY2NiCl
1.0
4.132 0.000 0.000
0.000 5.137 0.000
0.000 0.000 5.137
Cl Ni Li Y
1 1 1 2
Cartesian
0.000 0.000 0.000
2.066 0.000 0.000
2.066 2.568 2.568
0.000 0.000 2.568
0.000 2.568 0.000
```